# 1
# Cs3BaB, optimized geometry, DFT PBE-GGA
data_Cs3BaB
_chemical_formula_sum 'Cs3 Ba1 B1'
_space_group_name_H-M_alt 'P m -3 m'
_space_group_IT_number 221
_space_group_name_Hall '-P 4 2 3'
_cell_length_a 8.795
_cell_length_b 8.795
_cell_length_c 8.795
_cell_angle_alpha 90.00
_cell_angle_beta 90.00
_cell_angle_gamma 90.00
loop_
_atom_site_label
_atom_site_fract_x
_atom_site_fract_y
_atom_site_fract_z
Cs1 0.000 0.000 0.500
Ba1 0.000 0.000 0.000
B1 0.500 0.500 0.500
# - Total moment: 4.00 μB per cell
# - Energy: -0.71 eV per atom
# - Formation energy from the elements: 147.3 kJ/mol of atoms

***

# 2
# Cs2BaBF6, optimized geometry, DFT PBE-GGA
data_Cs2BaBF6
_chemical_formula_sum 'Cs4 Ba2 B2 F12'
_space_group_name_H-M_alt 'I 4/m m m'
_space_group_IT_number 139
_space_group_name_Hall '-I 4 2'
_cell_length_a 5.921
_cell_length_b 5.921
_cell_length_c 13.529
_cell_angle_alpha 90.00
_cell_angle_beta 90.00
_cell_angle_gamma 90.00
loop_
_atom_site_label
_atom_site_fract_x
_atom_site_fract_y
_atom_site_fract_z
Cs1 0.000 0.500 0.250
Ba1 0.000 0.000 0.000
B1 0.000 0.000 0.500
F1 0.000 0.000 0.189
F2 0.186 0.186 0.500
# - Total moment: 1.47 μB per cell
# - Energy: -4.66 eV per atom

***

# 3
# CsBaB2F8, optimized geometry, DFT PBE-GGA
data_CsBaB2F8
_chemical_formula_sum 'Cs3 Ba3 B6 F24'
_space_group_name_H-M_alt 'R -3 m'
_space_group_IT_number 166
_space_group_name_Hall '-R 3 2"'
_cell_length_a 5.4319
_cell_length_b 5.4319
_cell_length_c 25.9443
_cell_angle_alpha 90.00
_cell_angle_beta 90.00
_cell_angle_gamma 120.00
loop_
_atom_site_label
_atom_site_fract_x
_atom_site_fract_y
_atom_site_fract_z
Cs1 0.0000 0.0000 0.0000
Ba1 0.0000 0.0000 0.5000
B1 0.0000 0.0000 0.2394
F1 0.0000 0.0000 0.2933
F2 0.0496 0.5248 0.4469
# - Total moment: 2.70 μB per cell
# - Energy: -5.52 eV per atom

***

# 4
# CsBaB2H8, optimized geometry, DFT PBE-GGA
data_CsBaB2H8
_chemical_formula_sum 'Cs3 Ba3 B6 H24'
_space_group_name_H-M_alt 'R -3 m'
_space_group_IT_number 166
_space_group_name_Hall '-R 3 2"'
_cell_length_a 4.7924
_cell_length_b 4.7924
_cell_length_c 24.6701
_cell_angle_alpha 90.00
_cell_angle_beta 90.00
_cell_angle_gamma 120.00
loop_
_atom_site_label
_atom_site_fract_x
_atom_site_fract_y
_atom_site_fract_z
Cs1 0.0000 0.0000 0.0000
Ba1 0.0000 0.0000 0.5000
B1 0.0000 0.0000 0.2402
H1 0.0000 0.0000 0.2899
H2 0.0508 0.5254 0.4433
# - Total moment: 0.00 μB per cell
# - Energy: -3.97 eV per atom

***

# 5
# CsBaB2Mo, optimized geometry, DFT PBE-GGA
data_CsBaB2Mo
_chemical_formula_sum 'Cs1 Ba1 B2 Mo1'
_space_group_name_H-M_alt 'P 4/m m m'
_space_group_IT_number 123
_space_group_name_Hall '-P 4 2'
_cell_length_a 4.515
_cell_length_b 4.515
_cell_length_c 5.490
_cell_angle_alpha 90.00
_cell_angle_beta 90.00
_cell_angle_gamma 90.00
loop_
_atom_site_label
_atom_site_fract_x
_atom_site_fract_y
_atom_site_fract_z
Cs1 0.000 0.000 0.000
Ba1 0.500 0.500 0.000
B1 0.000 0.500 0.500
Mo1 0.000 0.000 0.500
# - Total moment: 0.00 μB per cell
# - Energy: -4.22 eV per atom
# - Formation energy from the elements: 113.4 kJ/mol of atoms

***

# 6
# CsBaNaB2, optimized geometry, DFT PBE-GGA
data_CsBaNaB2
_chemical_formula_sum 'Cs1 Ba1 Na1 B2'
_space_group_name_H-M_alt 'P 4/m m m'
_space_group_IT_number 123
_space_group_name_Hall '-P 4 2'
_cell_length_a 5.438
_cell_length_b 5.438
_cell_length_c 6.665
_cell_angle_alpha 90.00
_cell_angle_beta 90.00
_cell_angle_gamma 90.00
loop_
_atom_site_label
_atom_site_fract_x
_atom_site_fract_y
_atom_site_fract_z
Cs1 0.000 0.000 0.000
Ba1 0.000 0.000 0.500
Na1 0.500 0.500 0.000
B1 0.000 0.500 0.500
# - Total moment: 0.00 μB per cell
# - Energy: -1.76 eV per atom
# - Formation energy from the elements: 166.5 kJ/mol of atoms

***

# 7
# Cs3BaB2O6, optimized geometry, DFT PBE-GGA
data_Cs3BaB2O6
_chemical_formula_sum 'Cs3 Ba1 B2 O6'
_space_group_name_H-M_alt 'P -3 m 1'
_space_group_IT_number 164
_space_group_name_Hall '-P 3 2"'
_cell_length_a 6.2037
_cell_length_b 6.2037
_cell_length_c 7.7684
_cell_angle_alpha 90.00
_cell_angle_beta 90.00
_cell_angle_gamma 120.00
loop_
_atom_site_label
_atom_site_fract_x
_atom_site_fract_y
_atom_site_fract_z
Cs1 0.0000 0.0000 0.0000
Cs2 0.3333 0.6667 0.7314
Ba1 0.0000 0.0000 0.5000
B1 0.3333 0.6667 0.2901
O1 0.2040 0.4080 0.2918
# - Total moment: 1.01 μB per cell
# - Energy: -6.11 eV per atom

***

# 8
# CsBaBPd2, optimized geometry, DFT PBE-GGA
data_CsBaBPd2
_chemical_formula_sum 'Cs1 Ba1 B1 Pd2'
_space_group_name_H-M_alt 'P 4/m m m'
_space_group_IT_number 123
_space_group_name_Hall '-P 4 2'
_cell_length_a 4.565
_cell_length_b 4.565
_cell_length_c 5.571
_cell_angle_alpha 90.00
_cell_angle_beta 90.00
_cell_angle_gamma 90.00
loop_
_atom_site_label
_atom_site_fract_x
_atom_site_fract_y
_atom_site_fract_z
Cs1 0.000 0.000 0.000
Ba1 0.500 0.500 0.000
B1 0.500 0.500 0.500
Pd1 0.000 0.500 0.500
# - Total moment: 0.00 μB per cell
# - Energy: -3.68 eV per atom
# - Formation energy from the elements: 27.6 kJ/mol of atoms

***

# 9
# CsBa2BPt, optimized geometry, DFT PBE-GGA
data_CsBa2BPt
_chemical_formula_sum 'Cs1 Ba2 B1 Pt1'
_space_group_name_H-M_alt 'P 4/m m m'
_space_group_IT_number 123
_space_group_name_Hall '-P 4 2'
_cell_length_a 6.091
_cell_length_b 6.091
_cell_length_c 6.425
_cell_angle_alpha 90.00
_cell_angle_beta 90.00
_cell_angle_gamma 90.00
loop_
_atom_site_label
_atom_site_fract_x
_atom_site_fract_y
_atom_site_fract_z
Cs1 0.000 0.000 0.000
Ba1 0.000 0.500 0.500
B1 0.500 0.500 0.000
Pt1 0.000 0.000 0.500
# - Total moment: 1.97 μB per cell
# - Energy: -2.81 eV per atom
# - Formation energy from the elements: 64.8 kJ/mol of atoms

***

# 10
# Cs3BaB2S6, optimized geometry, DFT PBE-GGA
data_Cs3BaB2S6
_chemical_formula_sum 'Cs3 Ba1 B2 S6'
_space_group_name_H-M_alt 'P -3 m 1'
_space_group_IT_number 164
_space_group_name_Hall '-P 3 2"'
_cell_length_a 7.3557
_cell_length_b 7.3557
_cell_length_c 9.3811
_cell_angle_alpha 90.00
_cell_angle_beta 90.00
_cell_angle_gamma 120.00
loop_
_atom_site_label
_atom_site_fract_x
_atom_site_fract_y
_atom_site_fract_z
Cs1 0.0000 0.0000 0.0000
Cs2 0.3333 0.6667 0.6747
Ba1 0.0000 0.0000 0.5000
B1 0.3333 0.6667 0.2880
S1 0.1908 0.3816 0.2873
# - Total moment: 0.03 μB per cell
# - Energy: -4.58 eV per atom

***

# 11
# CsBaBSe2, optimized geometry, DFT PBE-GGA
data_CsBaBSe2
_chemical_formula_sum 'Cs1 Ba1 B1 Se2'
_space_group_name_H-M_alt 'P 4/m m m'
_space_group_IT_number 123
_space_group_name_Hall '-P 4 2'
_cell_length_a 6.106
_cell_length_b 6.106
_cell_length_c 6.494
_cell_angle_alpha 90.00
_cell_angle_beta 90.00
_cell_angle_gamma 90.00
loop_
_atom_site_label
_atom_site_fract_x
_atom_site_fract_y
_atom_site_fract_z
Cs1 0.000 0.000 0.000
Ba1 0.000 0.000 0.500
B1 0.500 0.500 0.500
Se1 0.000 0.500 0.000
# - Total moment: 0.00 μB per cell
# - Energy: -1.97 eV per atom

***

# 12
# Cs2BaB2Se6, optimized geometry, DFT PBE-GGA
data_Cs2BaB2Se6
_chemical_formula_sum 'Cs4 Ba2 B4 Se12'
_space_group_name_H-M_alt 'C 1 2/m 1'
_space_group_IT_number 12
_cell_length_a 13.691
_cell_length_b 6.065
_cell_length_c 11.347
_cell_angle_alpha 90.00
_cell_angle_beta 118.22
_cell_angle_gamma 90.00
loop_
_space_group_symop_operation_xyz
'x,y,z'
'-x,-y,-z'
'-x,y,-z'
'x,-y,z'
'x+1/2,y+1/2,z'
'-x+1/2,-y+1/2,-z'
'-x+1/2,y+1/2,-z'
'x+1/2,-y+1/2,z'
loop_
_atom_site_label
_atom_site_fract_x
_atom_site_fract_y
_atom_site_fract_z
Cs1 0.186 0.000 0.135
Ba1 0.000 0.000 0.500
B1 0.080 0.500 0.271
Se1 0.027 0.252 0.776
Se2 0.235 0.500 0.329
# - Total moment: 0.00 μB per cell
# - Energy: -4.20 eV per atom